Entry 1:
VASP calculation (GGA-PBE) on an optimized crystal structure of TaTe2IrN.

a b c (Å): 5.440 5.440 3.800
angles (deg): 90.00 90.00 90.00
Space group P4/mmm (No. 123)
One atom of each set of equivalent atoms:
Ta (0.000, 0.000, 0.000) (multiplicity 1)
Te (0.000, 0.500, 0.000) (multiplicity 2)
Ir (0.500, 0.500, 0.500) (multiplicity 1)
N (0.000, 0.000, 0.500) (multiplicity 1)

Results
Its polymorph energy (0 for the lowest one) is 25 meV per atom. The raw formation energy comes out at 0.748 eV/atom.

Entry 2:
VASP calculation (GGA-PBE) on an optimized crystal structure of TaTeIrN2.

a b c (Å): 3.951 3.951 6.002
angles (deg): 90.00 90.00 90.00
Space group P4/mmm (No. 123)
One atom of each set of equivalent atoms:
Ta (0.000, 0.000, 0.000) (multiplicity 1)
Te (0.000, 0.000, 0.500) (multiplicity 1)
Ir (0.500, 0.500, 0.500) (multiplicity 1)
N (0.000, 0.500, 0.000) (multiplicity 2)

Results
Its polymorph energy (0 for the lowest one) is 0 meV per atom. The raw formation energy comes out at 0.769 eV/atom.

Entry 3:
VASP calculation (GGA-PBE) on an optimized crystal structure of TaTi2IrN.

a b c (Å): 4.072 4.072 4.244
angles (deg): 90.00 90.00 90.00
Space group P4/mmm (No. 123)
One atom of each set of equivalent atoms:
Ta (0.000, 0.000, 0.000) (multiplicity 1)
Ti (0.000, 0.500, 0.500) (multiplicity 2)
Ir (0.500, 0.500, 0.000) (multiplicity 1)
N (0.000, 0.000, 0.500) (multiplicity 1)

Results
The raw formation energy comes out at -0.958 eV/atom.

Entry 4:
VASP calculation (GGA-PBE) on an optimized crystal structure of Ta2TiIrN.

a b c (Å): 4.223 4.223 4.063
angles (deg): 90.00 90.00 90.00
Space group P4/mmm (No. 123)
One atom of each set of equivalent atoms:
Ta (0.000, 0.500, 0.000) (multiplicity 2)
Ti (0.000, 0.000, 0.500) (multiplicity 1)
Ir (0.500, 0.500, 0.500) (multiplicity 1)
N (0.000, 0.000, 0.000) (multiplicity 1)

Results
The raw formation energy comes out at -0.806 eV/atom.

Entry 5:
VASP calculation (GGA-PBE) on an optimized crystal structure of Ta2TlIrN.

a b c (Å): 5.195 5.195 3.839
angles (deg): 90.00 90.00 90.00
Space group P4/mmm (No. 123)
One atom of each set of equivalent atoms:
Ta (0.000, 0.500, 0.000) (multiplicity 2)
Tl (0.000, 0.000, 0.000) (multiplicity 1)
Ir (0.500, 0.500, 0.500) (multiplicity 1)
N (0.000, 0.000, 0.500) (multiplicity 1)

Results
The raw formation energy comes out at 2.658 eV/atom.

Entry 6:
VASP calculation (GGA-PBE) on an optimized crystal structure of TaV2IrN.

a b c (Å): 3.933 3.933 4.217
angles (deg): 90.00 90.00 90.00
Space group P4/mmm (No. 123)
One atom of each set of equivalent atoms:
Ta (0.000, 0.000, 0.000) (multiplicity 1)
V (0.000, 0.500, 0.500) (multiplicity 2)
Ir (0.500, 0.500, 0.000) (multiplicity 1)
N (0.000, 0.000, 0.500) (multiplicity 1)

Results
The raw formation energy comes out at -0.724 eV/atom.

Entry 7:
VASP calculation (GGA-PBE) on an optimized crystal structure of Ta2IrWN.

a b c (Å): 4.222 4.222 4.081
angles (deg): 90.00 90.00 90.00
Space group P4/mmm (No. 123)
One atom of each set of equivalent atoms:
Ta (0.000, 0.500, 0.000) (multiplicity 2)
Ir (0.000, 0.000, 0.500) (multiplicity 1)
W (0.500, 0.500, 0.500) (multiplicity 1)
N (0.500, 0.500, 0.000) (multiplicity 1)

Results
The raw formation energy comes out at -0.467 eV/atom.

Entry 8:
VASP calculation (GGA-PBE) on an optimized crystal structure of YTa2IrN.

a b c (Å): 4.203 4.203 4.700
angles (deg): 90.00 90.00 90.00
Space group P4/mmm (No. 123)
One atom of each set of equivalent atoms:
Y (0.000, 0.000, 0.000) (multiplicity 1)
Ta (0.000, 0.500, 0.500) (multiplicity 2)
Ir (0.500, 0.500, 0.000) (multiplicity 1)
N (0.000, 0.000, 0.500) (multiplicity 1)

Results
The raw formation energy comes out at -0.565 eV/atom.

Entry 9:
VASP calculation (GGA-PBE) on an optimized crystal structure of ZrTaIrN2.

a b c (Å): 4.007 4.007 5.358
angles (deg): 90.00 90.00 90.00
Space group P4/mmm (No. 123)
One atom of each set of equivalent atoms:
Zr (0.000, 0.000, 0.000) (multiplicity 1)
Ta (0.500, 0.500, 0.500) (multiplicity 1)
Ir (0.000, 0.000, 0.500) (multiplicity 1)
N (0.000, 0.500, 0.000) (multiplicity 2)

Results
The raw formation energy comes out at 1.005 eV/atom.

Entry 10:
VASP calculation (GGA-PBE) on an optimized crystal structure of TbIrN.

a b c (Å): 3.535 3.535 3.867
angles (deg): 90.00 90.00 90.00
Space group P4/mmm (No. 123)
One atom of each set of equivalent atoms:
Tb (0.000, 0.000, 0.000) (multiplicity 1)
Ir (0.500, 0.500, 0.500) (multiplicity 1)
N (0.500, 0.500, 0.000) (multiplicity 1)

Results
The raw formation energy comes out at -0.893 eV/atom.

Entry 11:
VASP calculation (GGA-PBE) on an optimized crystal structure of TcIrN.

a b c (Å): 2.709 2.709 10.844
angles (deg): 90.00 90.00 90.00
Space group P4/nmm (No. 129, origin choice 2)
One atom of each set of equivalent atoms:
Tc (0.250, 0.250, 0.219) (multiplicity 2)
Ir (0.250, 0.250, 0.588) (multiplicity 2)
N (0.250, 0.250, 0.857) (multiplicity 2)

Results
The raw formation energy comes out at 0.234 eV/atom.

Entry 12:
VASP calculation (GGA-PBE) on an optimized crystal structure of TcTeIrN2.

a b c (Å): 3.810 3.810 5.903
angles (deg): 90.00 90.00 90.00
Space group P4/mmm (No. 123)
One atom of each set of equivalent atoms:
Tc (0.000, 0.000, 0.000) (multiplicity 1)
Te (0.000, 0.000, 0.500) (multiplicity 1)
Ir (0.500, 0.500, 0.500) (multiplicity 1)
N (0.000, 0.500, 0.000) (multiplicity 2)

Results
Its polymorph energy (0 for the lowest one) is 0 meV per atom. The raw formation energy comes out at 0.989 eV/atom.

Entry 13:
VASP calculation (GGA-PBE) on an optimized crystal structure of TcTeIrN2.

a b c (Å): 3.767 3.767 6.829
angles (deg): 90.00 90.00 90.00
Space group P4/mmm (No. 123)
One atom of each set of equivalent atoms:
Tc (0.000, 0.000, 0.000) (multiplicity 1)
Te (0.500, 0.500, 0.000) (multiplicity 1)
Ir (0.500, 0.500, 0.500) (multiplicity 1)
N (0.000, 0.500, 0.500) (multiplicity 2)

Results
Its polymorph energy (0 for the lowest one) is 235 meV per atom. The raw formation energy comes out at 1.224 eV/atom.

Entry 14:
VASP calculation (GGA-PBE) on an optimized crystal structure of V2TcIrN.

a b c (Å): 3.945 3.945 3.980
angles (deg): 90.00 90.00 90.00
Space group P4/mmm (No. 123)
One atom of each set of equivalent atoms:
V (0.000, 0.500, 0.000) (multiplicity 2)
Tc (0.000, 0.000, 0.500) (multiplicity 1)
Ir (0.500, 0.500, 0.500) (multiplicity 1)
N (0.000, 0.000, 0.000) (multiplicity 1)

Results
The raw formation energy comes out at -0.507 eV/atom.